Compound: Pm2Cu2HgPd5
Source: the Alexandria database
Functional: PBE
Structure: optimized geometry

Cell: 9.528 9.528 3.997 Å, 90.00 90.00 90.00°
Space group P4/mbm (No. 127)
Unique sites:
Pm (0.178, 0.322, 0.000) [4 per cell]
Cu (0.118, 0.618, 0.000) [4 per cell]
Hg (0.000, 0.000, 0.000) [2 per cell]
Pd (0.000, 0.500, 0.500) [2 per cell]
Pd (0.070, 0.790, 0.500) [8 per cell]

Output
The density of states at the Fermi level comes out at 3.3 states/eV/f.u. The formation enthalpy at 0 K is -0.5829 eV per atom. The total DFT energy (no corrections) is -99.58 eV/cell.